Run 1
The following is a DFT calculation (PBE) of a relaxed Ba2MgTl2 crystal.

Summary:
N(E_F) = 0.653 states/eV per atom
theoretical density = 5.8 g/cm³

Cell lengths 10.054, 10.054, 3.975 Å; angles 90.00, 90.00, 90.00 degrees
Element x y z (fractional)
Tl  0.621  0.879  0.500
Tl  0.879  0.379  0.500
Tl  0.121  0.621  0.500
Tl  0.379  0.121  0.500
Ba  0.676  0.176  0.000
Ba  0.176  0.324  0.000
Ba  0.824  0.676  0.000
Ba  0.324  0.824  0.000
Mg  0.500  0.500  0.000
Mg  0.000  0.000  0.000

***

Run 2
The following is a DFT calculation (PBE) of a relaxed Ba2MgTl2 crystal.

Summary:
N(E_F) = 1.040 states/eV per atom
theoretical density = 5.6 g/cm³

Cell lengths 4.510, 4.510, 10.814 Å; angles 77.96, 77.96, 90.00 degrees
Element x y z (fractional)
Ba  0.603  0.603  0.795
Ba  0.397  0.397  0.205
Tl  0.750  0.250  0.500
Tl  0.250  0.750  0.500
Mg  0.000  0.000  0.000

***

Which one sits at the top of the stability order? run 1 does.

***

Run 1
The following is a DFT calculation (PBE) of a relaxed BaMgTl4 crystal.

Summary:
N(E_F) = 0.278 states/eV per atom
theoretical density = 8.7 g/cm³

Cell lengths 4.980, 7.872, 9.880 Å; angles 90.00, 104.60, 90.00 degrees
Element x y z (fractional)
Tl  0.500  0.500  0.000
Tl  0.066  0.750  0.133
Tl  0.500  0.000  0.000
Tl  0.677  0.950  0.354
Tl  0.323  0.450  0.646
Tl  0.323  0.050  0.646
Tl  0.677  0.550  0.354
Tl  0.934  0.250  0.867
Ba  0.120  0.250  0.240
Ba  0.880  0.750  0.760
Mg  0.224  0.750  0.448
Mg  0.776  0.250  0.552

***

Run 2
The following is a DFT calculation (PBE) of a relaxed BaMgTl4 crystal.

Summary:
N(E_F) = 0.835 states/eV per atom
theoretical density = 7.6 g/cm³

Cell lengths 4.844, 4.844, 9.109 Å; angles 90.00, 90.00, 90.00 degrees
Element x y z (fractional)
Tl  0.000  0.500  0.301
Tl  0.000  0.500  0.699
Tl  0.500  0.000  0.301
Tl  0.500  0.000  0.699
Ba  0.000  0.000  0.000
Mg  0.500  0.500  0.500

***

Which one sits at the top of the stability order? run 1 does.